DFT (GGA-PBE) results for a relaxed ErTmZnCo crystal.

Results
As for the formation energy: -25.59 kJ/mol of atoms.

extended XYZ file:
```
4
Lattice="4.810 0.000 0.000 2.405 4.166 0.000 2.405 1.389 3.927" Properties=species:S:1:pos:R:3 pbc="T T T"
Co 4.810 2.777 1.964
Zn 0.000 0.000 0.000
Er 7.215 4.166 2.946
Tm 2.405 1.389 0.982
```